# 1
Density functional theory data (GGA-PBEsol) for crystalline Ni2BCl at its relaxed geometry.

Geometry as POSCAR:
```
Ni2BCl
1.0
3.902 0.000 0.000
1.951 3.380 0.000
1.951 1.127 3.186
Ni B Cl
2 1 1
direct
0.250 0.250 0.250
0.750 0.750 0.750
0.000 0.000 0.000
0.500 0.500 0.500
```

Results
Fermi-level density of states in states/eV per cell: 0.72
E_form (uncorrected) in eV per atom: 0.6924
Final energy in eV per cell: -18.6
V in Å³ per atom: 10.51
SG: No. 225
M_tot in μB per formula unit: 0.00

***

# 2
Density functional theory data (GGA-PBEsol) for crystalline Zr2MnBe at its relaxed geometry.

Geometry as POSCAR:
```
Zr2MnBe
1.0
3.175 0.000 0.019
0.000 3.175 0.000
-0.036 0.000 6.150
Be Mn Zr
1 1 2
direct
0.500 0.500 0.000
0.500 0.500 0.500
0.000 0.000 0.747
0.000 0.000 0.253
```

Results
Fermi-level density of states in states/eV per cell: 3.73
Final energy in eV per cell: -32.2
V in Å³ per atom: 15.50
SG: No. 123
M_tot in μB per formula unit: 0.00
DFT formation energy in eV/atom: -0.07

***

# 3
Density functional theory data (GGA-PBEsol) for crystalline InFeRe at its relaxed geometry.

Geometry as POSCAR:
```
InFeRe
1.0
-2.457 -1.129 0.736
-0.229 -1.160 -2.541
3.995 -3.426 2.749
Fe In Re
1 1 1
direct
0.014 0.014 0.028
0.341 0.341 0.682
0.645 0.645 0.289
```

Results
Fermi-level density of states in states/eV per cell: 2.13
Final energy in eV per cell: -24.6
V in Å³ per atom: 14.65
SG: No. 107
M_tot in μB per formula unit: 0.03
DFT formation energy in eV/atom: 0.23

***

# 4
Density functional theory data (GGA-PBEsol) for crystalline PtAu2 at its relaxed geometry.

Geometry as POSCAR:
```
PtAu2
1.0
2.815 0.000 0.000
0.000 4.762 0.000
-1.407 0.000 7.288
Au Pt
4 2
direct
0.724 0.750 0.449
0.943 0.250 0.886
0.057 0.750 0.114
0.276 0.250 0.551
0.390 0.750 0.781
0.610 0.250 0.219
```

Results
Fermi-level density of states in states/eV per cell: 2.41
Final energy in eV per cell: -29.2
V in Å³ per atom: 16.28
SG: No. 63
M_tot in μB per formula unit: 0.00
DFT formation energy in eV/atom: 0.07